1.
TlN3F | GGA-PBE | optimized geometry

Cell lengths 4.3734, 4.3734, 4.3734 Å; angles 90.00, 90.00, 90.00 degrees
Space group Pm-3m (No. 221)
Unique sites:
Tl (0.0000, 0.0000, 0.0000) (multiplicity 1)
N (0.0000, 0.0000, 0.5000) (multiplicity 3)
F (0.5000, 0.5000, 0.5000) (multiplicity 1)

Energy relative to the elements, uncorrected   2468 meV/atom

2.
Tl2N2F7 | GGA-PBE | optimized geometry

Cell lengths 16.5683, 7.4974, 3.7923 Å; angles 90.00, 93.97, 90.00 degrees
Space group C2/m (No. 12)
Unique sites:
Tl (0.0000, 0.2492, 0.0000) (multiplicity 4)
N (0.1942, 0.0000, 0.4656) (multiplicity 4)
F (0.0000, 0.5000, 0.5000) (multiplicity 2)
F (0.0798, 0.0000, 0.5217) (multiplicity 4)
F (0.1979, 0.1442, 0.2398) (multiplicity 8)

Energy relative to the elements, uncorrected   -696 meV/atom

3.
Tl3N2F2 | GGA-PBE | optimized geometry

Cell lengths 3.7394, 6.8960, 8.0310 Å; angles 82.22, 76.77, 89.45 degrees
Space group P-1 (No. 2)
Unique sites:
Tl (0.0000, 0.0000, 0.0000) (multiplicity 1)
Tl (0.3018, 0.7794, 0.4035) (multiplicity 2)
N (0.0286, 0.4612, 0.9411) (multiplicity 2)
F (0.1745, 0.9707, 0.6543) (multiplicity 2)

Energy relative to the elements, uncorrected   -871 meV/atom

4.
Tl2NF | GGA-PBE | optimized geometry

Cell lengths 6.1637, 3.6639, 7.0224 Å; angles 90.00, 102.40, 90.00 degrees
Space group P2_1 (No. 4)
Unique sites:
Tl (0.1977, 0.0002, 0.4476) (multiplicity 2)
Tl (0.2401, 0.5000, 0.9445) (multiplicity 2)
N (0.0011, 0.5002, 0.2941) (multiplicity 2)
F (0.4603, 0.5019, 0.6499) (multiplicity 2)

Energy relative to the elements, uncorrected   -179 meV/atom
ΔE to the lowest computed polymorph   0.0 meV/atom

5.
TlN2F4 | GGA-PBE | optimized geometry

Cell lengths 3.8270, 3.8298, 10.1196 Å; angles 88.16, 89.73, 60.05 degrees
Space group P-1 (No. 2)
Unique sites:
Tl (0.0000, 0.0000, 0.0000) (multiplicity 1)
N (0.0556, 0.8910, 0.4519) (multiplicity 2)
F (0.0784, 0.8374, 0.6588) (multiplicity 2)
F (0.3301, 0.3422, 0.9015) (multiplicity 2)

Energy relative to the elements, uncorrected   -701 meV/atom